# 1
Compound: SrLiDyS3
Source: OQMD via LeMat-Bulk
Functional: PBE
Structure: optimized geometry

POSCAR file:
```
SrLiDyS3
1.0
6.051 1.832 -2.545
-6.375 -1.931 -1.440
-2.977 9.828 0.000
Dy Li S Sr
2 2 6 2
direct
0.000 0.000 0.000 Dy
0.000 0.000 0.500 Dy
0.478 0.522 0.250 Li
0.522 0.478 0.750 Li
0.366 0.634 0.068 S
0.078 0.922 0.250 S
0.366 0.634 0.432 S
0.634 0.366 0.568 S
0.922 0.078 0.750 S
0.634 0.366 0.932 S
0.750 0.250 0.250 Sr
0.250 0.750 0.750 Sr
```

Output
**Relative energy among the computed polymorphs**: 0.021 eV/atom


# 2
Compound: NaNiPd
Source: OQMD via LeMat-Bulk
Functional: PBE
Structure: optimized geometry

POSCAR file:
```
NaNiPd
1.0
-1.551 -3.939 -0.582
1.200 -3.174 2.597
-2.781 -1.636 2.801
Na Ni Pd
1 1 1
direct
0.000 0.000 0.000 Na
0.250 0.250 0.250 Ni
0.750 0.750 0.750 Pd
```

Output
**Relative energy among the computed polymorphs**: 0.392 eV/atom


# 3
Compound: Rb2FeAgI6
Source: OQMD via LeMat-Bulk
Functional: PBE
Structure: optimized geometry

POSCAR file:
```
Rb2FeAgI6
1.0
5.412 3.270 5.180
-5.000 -1.542 6.280
2.254 -6.028 -5.040
Ag Fe I Rb
1 1 6 2
direct
0.500 0.500 0.000 Ag
0.000 0.000 0.000 Fe
0.759 0.241 0.000 I
0.242 0.242 0.000 I
0.758 0.758 0.000 I
0.241 0.759 0.000 I
0.241 0.241 0.483 I
0.759 0.759 0.517 I
0.750 0.250 0.500 Rb
0.250 0.750 0.500 Rb
```

Output
**DFT total energy**: -2.88 eV/atom


# 4
Compound: DyYBr2NCl
Source: OQMD via LeMat-Bulk
Functional: PBE
Structure: optimized geometry

POSCAR file:
```
DyYBr2NCl
1.0
-2.295 7.927 4.522
-3.451 5.236 7.015
10.504 -4.774 -0.278
Br Cl Dy N Y
4 2 2 2 2
direct
0.218 0.218 0.125 Br
0.967 0.967 0.259 Br
0.033 0.033 0.741 Br
0.782 0.782 0.875 Br
0.325 0.325 0.494 Cl
0.675 0.675 0.506 Cl
0.139 0.139 0.292 Dy
0.861 0.861 0.708 Dy
0.577 0.577 0.157 N
0.423 0.423 0.843 N
0.426 0.426 0.040 Y
0.574 0.574 0.960 Y
```

Output
**Relative energy among the computed polymorphs**: 0.010 eV/atom